No. 1
First-principles (GGA-PBE) data for a relaxed Er2PaAl crystal, as listed in Alexandria via LeMat-Bulk.

Cell lengths 3.359, 3.359, 8.968 Å; angles 90.00, 90.00, 90.00 degrees
Positions (direct):
Er (0.000, 0.000, 0.774)
Er (0.000, 0.000, 0.226)
Al (0.500, 0.500, 0.000)
Pa (0.500, 0.500, 0.500)

Computed properties:
* space-group type: P4/mmm (123)
* energy: -5.676 eV per atom
* energy relative to the elements: -85 meV per atom
* ρ: 9.7 g/cm3


No. 2
First-principles (GGA-PBE) data for a relaxed RuW3 crystal, as listed in Alexandria via LeMat-Bulk.

Cell lengths 5.015, 5.015, 5.015 Å; angles 90.00, 90.00, 90.00 degrees
Positions (direct):
Ru (0.500, 0.500, 0.500)
Ru (0.000, 0.000, 0.000)
W (0.000, 0.250, 0.500)
W (0.250, 0.500, 0.000)
W (0.500, 0.000, 0.750)
W (0.750, 0.500, 0.000)
W (0.500, 0.000, 0.250)
W (0.000, 0.750, 0.500)

Computed properties:
* space-group type: Pm-3n (223)
* energy: -11.951 eV per atom
* energy relative to the elements: 83 meV per atom
* ρ: 17.2 g/cm3


No. 3
First-principles (GGA-PBE) data for a relaxed Pm2Co17C2 crystal, as listed in Alexandria via LeMat-Bulk.

Cell lengths 6.418, 6.377, 6.377 Å; angles 84.23, 83.88, 83.88 degrees
Positions (direct):
Co (0.717, 0.000, 0.283)
Co (0.000, 0.722, 0.278)
Co (0.865, 0.344, 0.344)
Co (0.659, 0.655, 0.140)
Co (0.135, 0.656, 0.656)
Co (0.000, 0.278, 0.722)
Co (0.283, 0.000, 0.717)
Co (0.659, 0.140, 0.655)
Co (0.717, 0.283, 0.000)
Co (0.341, 0.860, 0.345)
Co (0.000, 0.500, 0.000)
Co (0.905, 0.904, 0.904)
Co (0.500, 0.000, 0.000)
Co (0.095, 0.096, 0.096)
Co (0.000, 0.000, 0.500)
Co (0.283, 0.717, 0.000)
Co (0.341, 0.345, 0.860)
Pm (0.671, 0.646, 0.646)
Pm (0.329, 0.354, 0.354)
C (0.500, 0.500, 0.000)
C (0.500, 0.000, 0.500)

Computed properties:
* space-group type: C2/m (12)
* energy: -7.105 eV per atom
* energy relative to the elements: -22 meV per atom
* ρ: 8.5 g/cm3


No. 4
First-principles (GGA-PBE) data for a relaxed CeDyLuAg crystal, as listed in Alexandria via LeMat-Bulk.

Cell lengths 5.214, 5.214, 5.214 Å; angles 60.00, 60.00, 60.00 degrees
Positions (direct):
Ag (0.250, 0.250, 0.250)
Dy (0.000, 0.000, 0.000)
Lu (0.500, 0.500, 0.500)
Ce (0.750, 0.750, 0.750)

Computed properties:
* space-group type: F-43m (216)
* energy: -4.339 eV per atom
* energy relative to the elements: 138 meV per atom
* ρ: 9.7 g/cm3


No. 5
First-principles (GGA-PBE) data for a relaxed CsPbAuSe2 crystal, as listed in Alexandria via LeMat-Bulk.

Cell lengths 6.084, 7.595, 8.782 Å; angles 115.62, 90.00, 90.00 degrees
Positions (direct):
Se (0.739, 0.881, 0.762)
Se (0.261, 0.119, 0.238)
Se (0.739, 0.619, 0.238)
Se (0.261, 0.381, 0.762)
Au (0.000, 0.500, 0.000)
Au (0.000, 0.000, 0.000)
Pb (0.500, 0.250, 0.000)
Pb (0.500, 0.750, 0.000)
Cs (0.764, 0.250, 0.500)
Cs (0.236, 0.750, 0.500)

Computed properties:
* space-group type: Cmme (67)
* energy: -3.598 eV per atom
* raw formation energy: -0.637 eV/atom
* ρ: 6.3 g/cm3


No. 6
First-principles (GGA-PBE) data for a relaxed RbCaFe2 crystal, as listed in Alexandria via LeMat-Bulk.

Cell lengths 8.457, 8.457, 6.650 Å; angles 50.52, 50.52, 90.00 degrees
Positions (direct):
Fe (0.615, 0.125, 0.250)
Fe (0.875, 0.865, 0.750)
Fe (0.375, 0.385, 0.750)
Fe (0.135, 0.625, 0.250)
Rb (0.000, 0.000, 0.000)
Rb (0.750, 0.250, 0.500)
Ca (0.500, 0.500, 0.000)
Ca (0.250, 0.750, 0.500)

Computed properties:
* space-group type: I-42d (122)
* energy: -3.605 eV per atom
* energy relative to the elements: 1368 meV per atom
* ρ: 3.8 g/cm3


No. 7
First-principles (GGA-PBE) data for a relaxed Cs3TlIn2I9 crystal, as listed in Alexandria via LeMat-Bulk.

Cell lengths 8.630, 8.630, 11.516 Å; angles 90.00, 90.00, 120.00 degrees
Positions (direct):
Tl (0.000, 0.000, 0.500)
I (0.500, 0.500, 0.000)
I (0.166, 0.333, 0.300)
I (0.834, 0.166, 0.700)
I (0.500, 0.000, 0.000)
I (0.834, 0.667, 0.700)
I (0.000, 0.500, 0.000)
I (0.333, 0.166, 0.700)
I (0.667, 0.834, 0.300)
I (0.166, 0.834, 0.300)
In (0.333, 0.667, 0.164)
In (0.667, 0.333, 0.836)
Cs (0.000, 0.000, 0.000)
Cs (0.333, 0.667, 0.717)
Cs (0.667, 0.333, 0.283)

Computed properties:
* space-group type: P-3m1 (164)
* energy: -2.552 eV per atom
* raw formation energy: -0.928 eV/atom
* ρ: 4.4 g/cm3


What is the formula in the third record?
Pm2Co17C2